VASP calculation (GGA-PBEsol) on a geometry-optimized Nd3Ho structure.

E above lowest polymorph ... 0 meV/atom
N(E_F) ... 5.5 states/eV per cell

a = 5.035 Å, b = 5.035 Å, c = 5.035 Å
α = 90.00°, β = 90.00°, γ = 90.00°
Space group Pm-3m (No. 221)
One atom of each set of equivalent atoms:
Nd (0.000, 0.000, 0.500) [3 per cell]
Ho (0.500, 0.500, 0.500) [1 per cell]

VASP calculation (GGA-PBEsol) on a geometry-optimized Nd3Ho structure.

E above lowest polymorph ... 2 meV/atom
N(E_F) ... 11.5 states/eV per cell

a = 7.131 Å, b = 7.130 Å, c = 6.157 Å
α = 90.00°, β = 125.26°, γ = 90.00°
Space group C2/m (No. 12)
One atom of each set of equivalent atoms:
Nd (0.000, 0.000, 0.000) [2 per cell]
Nd (0.000, 0.250, 0.500) [4 per cell]
Ho (0.000, 0.500, 0.000) [2 per cell]

no.,calculated formation energy (kJ per mole of atoms),raw total energy (eV/atom)
1,0.7,-5.105
2,0.9,-5.103